The following is a DFT calculation (GGA-PBE) of a geometry-optimized La2ErTl3 structure.

a b c (Å): 3.8192 29.5640 6.8065
angles (deg): 90.00 90.00 90.00
Space group Cmcm (No. 63)
Symmetry-distinct sites (fractional):
La 0.0000 0.0059 0.2500
La 0.0000 0.1572 0.7500
Er 0.0000 0.3337 0.7500
Tl 0.0000 0.2501 0.2500
Tl 0.0000 0.4210 0.0112

Calculated values
As for the crystal system: orthorhombic. The value obtained for the total magnetization is 0.0006 μB per atom. As for the energy relative to the elements: -142 kJ/mol of formula units. The theoretical density comes out at 9.15 Mg/m³. Its volume is 769 Å³ per cell. The distance to the lowest polymorph of the same formula is 150 meV per atom.


The following is a DFT calculation (GGA-PBE) of a geometry-optimized CsRu2O2 structure.

a b c (Å): 3.7064 3.7064 12.8921
angles (deg): 90.00 90.00 90.00
Space group I4/mmm (No. 139)
Symmetry-distinct sites (fractional):
Cs 0.0000 0.0000 0.0000
Ru 0.0000 0.5000 0.2500
O 0.0000 0.0000 0.3389

Calculated values
As for the crystal system: tetragonal. The value obtained for the total magnetization is 0.0001 μB per atom. The theoretical density comes out at 6.88 Mg/m³. Its volume is 177 Å³ per cell. As for the final energy: -5.99 eV/atom.


The following is a DFT calculation (GGA-PBE) of a geometry-optimized CsOsF5 structure.

a b c (Å): 10.1203 8.0431 7.9085
angles (deg): 90.00 109.64 90.00
Space group C2/c (No. 15)
Symmetry-distinct sites (fractional):
Cs 0.0000 0.0289 0.2500
Os 0.0000 0.5000 0.0000
F 0.0000 0.4428 0.2500
F 0.0577 0.2685 0.9850
F 0.1932 0.4277 0.5974

Calculated values
As for the crystal system: monoclinic. The value obtained for the total magnetization is 0.2857 μB per atom. The theoretical density comes out at 4.58 Mg/m³. Its volume is 606 Å³ per cell. As for the final energy: -5.08 eV/atom.


The following is a DFT calculation (GGA-PBE) of a geometry-optimized TlCo3Sn structure.

a b c (Å): 4.7904 4.7904 4.7904
angles (deg): 90.00 90.00 90.00
Space group Pm-3m (No. 221)
Symmetry-distinct sites (fractional):
Tl 0.0000 0.0000 0.0000
Co 0.0000 0.0000 0.5000
Sn 0.5000 0.5000 0.5000

Calculated values
As for the crystal system: cubic. The value obtained for the total magnetization is 0.8863 μB per atom. As for the energy relative to the elements: 710 kJ/mol of formula units. The theoretical density comes out at 7.55 Mg/m³. Its volume is 110 Å³ per cell. The distance to the lowest polymorph of the same formula is 286 meV per atom.